Record 1
A relaxed BaCaMo2 crystal. Source: the Alexandria database, functional PBE.

Values from the calculation:
Space-group type   Pmmm (47)
Magnetic moment   0.0 μB per formula unit
Calculated density   6.68 g cm⁻³
Crystal system   orthorhombic
Energy relative to the lowest polymorph listed for this composition   0.721 eV/atom
Density of states at the Fermi level   4.1 states/eV per cell

a = 3.903 Å, b = 4.323 Å, c = 5.439 Å
α = 90.00°, β = 90.00°, γ = 90.00°
Sites, in units of the cell vectors:
Mo (0.000, 0.000, 0.000)
Mo (0.500, 0.500, 0.000)
Ca (0.000, 0.500, 0.500)
Ba (0.500, 0.000, 0.500)

Record 2
A relaxed BaCaMo3 crystal. Source: the Alexandria database, functional PBE.

Values from the calculation:
Space-group type   Pm-3m (221)
Magnetic moment   3.8 μB per formula unit
Calculated density   5.85 g cm⁻³
Crystal system   cubic
Energy relative to the lowest polymorph listed for this composition   0.157 eV/atom
Density of states at the Fermi level   7.5 states/eV per cell

a = 5.092 Å, b = 5.092 Å, c = 5.092 Å
α = 90.00°, β = 90.00°, γ = 90.00°
Each line ends with the local moment (μB).
Sites, in units of the cell vectors:
Mo (0.000, 0.500, 0.000)  1.03
Mo (0.000, 0.000, 0.500)  1.00
Mo (0.500, 0.000, 0.000)  1.21
Ca (0.500, 0.500, 0.500)  0.03
Ba (0.000, 0.000, 0.000)  0.01

Record 3
A relaxed Ba2CaMo crystal. Source: the Alexandria database, functional PBE.

Values from the calculation:
Space-group type   P4/mmm (123)
Magnetic moment   3.2 μB per formula unit
Calculated density   4.27 g cm⁻³
Crystal system   tetragonal
Energy relative to the lowest polymorph listed for this composition   0.146 eV/atom
Density of states at the Fermi level   5.6 states/eV per cell

a = 5.742 Å, b = 5.740 Å, c = 4.848 Å
α = 90.00°, β = 90.00°, γ = 90.00°
Each line ends with the local moment (μB).
Sites, in units of the cell vectors:
Mo (0.000, 0.500, 0.500)  2.95
Ca (0.500, 0.000, 0.500)  -0.05
Ba (0.000, 0.000, 0.000)  -0.05
Ba (0.500, 0.500, 0.000)  -0.05

Record 4
A relaxed BaCa3Mo crystal. Source: the Alexandria database, functional PBE.

Values from the calculation:
Space-group type   Pm-3m (221)
Magnetic moment   0.0 μB per formula unit
Calculated density   3.31 g cm⁻³
Crystal system   cubic
Energy relative to the lowest polymorph listed for this composition   1.411 eV/atom
Density of states at the Fermi level   11.8 states/eV per cell

a = 5.619 Å, b = 5.619 Å, c = 5.619 Å
α = 90.00°, β = 90.00°, γ = 90.00°
Sites, in units of the cell vectors:
Mo (0.500, 0.500, 0.500)
Ca (0.000, 0.500, 0.000)
Ca (0.000, 0.000, 0.500)
Ca (0.500, 0.000, 0.000)
Ba (0.000, 0.000, 0.000)